ZrInMo2: relaxed, PBE.

The structure belongs to space group Cmm2 (No. 35); the cell edges are 3.321, 4.895 and 9.318 Å and the angles 90.00°, 90.00° and 90.00°. Symmetry generates all atoms from Zr at (0.000, 0.000, 0.000), In at (0.000, 0.500, 0.716), Mo at (0.000, 0.000, 0.459) and Mo at (0.000, 0.500, 0.246).

For the density of states at the Fermi level, the calculation gives 0.83 states/eV/atom. The formation energy is 0.10 eV/atom. For the final energy, the calculation gives -8.134 eV/atom.